Crystalline Tl3CoRh2O6 at its relaxed geometry. Source: Alexandria, functional PBE with a Hubbard U.

```
Tl3CoRh2O6
1.0
5.546 -0.002 0.002
-2.773 4.803 0.002
-0.923 -1.598 6.405
Tl Co Rh O
3 1 2 6
Cartesian
-1.846 3.202 3.204
3.696 0.001 3.204
0.925 1.602 3.204
0.000 0.000 0.000
-0.001 3.202 0.002
2.774 1.599 0.002
2.794 1.577 5.432
1.834 3.175 0.959
-0.944 1.627 0.976
-0.030 3.208 5.432
0.016 0.028 5.449
1.880 -0.005 0.976
```

Calculated values
The calculation puts the density of states at the Fermi level at 8.2 states/eV/f.u. Its uncorrected energy is -64.3 eV for the cell shown.